# MgPt3O, optimized geometry, DFT PBE-GGA
data_MgPt3O
_space_group_name_H-M_alt 'P m -3 m'
_space_group_IT_number 221
_space_group_name_Hall '-P 4 2 3'
_cell_length_a 4.292
_cell_length_b 4.292
_cell_length_c 4.292
_cell_angle_alpha 90.00
_cell_angle_beta 90.00
_cell_angle_gamma 90.00
loop_
_atom_site_label
_atom_site_type_symbol
_atom_site_fract_x
_atom_site_fract_y
_atom_site_fract_z
Mg1 Mg 0.000 0.000 0.000
Pt1 Pt 0.000 0.500 0.500
O1 O 0.500 0.500 0.500
# - E above lowest polymorph (meV per atom) = 0
# - crystal system = cubic
# - total magnetization (μB per cell) = 0.00
# - raw formation energy (eV/f.u.) = 0.53
# - final energy (eV/cell) = -24.14

---

# Rb2YPdBr6, optimized geometry, DFT PBE-GGA
data_Rb2YPdBr6
_space_group_name_H-M_alt 'I 4/m m m'
_space_group_IT_number 139
_space_group_name_Hall '-I 4 2'
_cell_length_a 7.941
_cell_length_b 7.941
_cell_length_c 10.987
_cell_angle_alpha 90.00
_cell_angle_beta 90.00
_cell_angle_gamma 90.00
loop_
_atom_site_label
_atom_site_type_symbol
_atom_site_fract_x
_atom_site_fract_y
_atom_site_fract_z
Rb1 Rb 0.000 0.500 0.250
Y1 Y 0.000 0.000 0.000
Pd1 Pd 0.000 0.000 0.500
Br1 Br 0.000 0.000 0.255
Br2 Br 0.249 0.249 0.000
# - crystal system = tetragonal
# - total magnetization (μB per cell) = 2.00
# - raw formation energy (eV/f.u.) = -14.03
# - final energy (eV/cell) = -75.32